*P*
VASP calculation (PBE) on Li2BeTc after structural relaxation.

Output
* theoretical density: 3.752 g/cm³
* density of states at the Fermi level: 0.700 states/eV/atom
* magnetic moment: 0.6 μB/f.u.

a = 2.5933 Å, b = 2.5933 Å, c = 27.5563 Å
α = 90.00°, β = 90.00°, γ = 120.00°
Space group R-3m (No. 166, hexagonal axes)
Asymmetric unit:
Li (0.0000, 0.0000, 0.2483)
Be (0.0000, 0.0000, 0.5000)
Tc (0.0000, 0.0000, 0.0000)

*Q*
VASP calculation (PBE) on Li2BeTc after structural relaxation.

Output
* theoretical density: 4.088 g/cm³
* density of states at the Fermi level: 0.374 states/eV/atom
* magnetic moment: 0.0 μB/f.u.

a = 6.5563 Å, b = 6.5563 Å, c = 4.5699 Å
α = 90.00°, β = 90.00°, γ = 90.00°
Space group I-42d (No. 122)
Asymmetric unit:
Li (0.2206, 0.7500, 0.1250)
Be (0.0000, 0.0000, 0.0000)
Tc (0.0000, 0.0000, 0.5000)

Which is most stable, and by how much? *P*, by 316 meV per atom.

*P*
VASP calculation (PBE) on LiBeTc after structural relaxation.

Output
* theoretical density: 4.898 g/cm³
* density of states at the Fermi level: 0.293 states/eV/atom
* magnetic moment: 0.0 μB/f.u.

a = 2.9994 Å, b = 4.1262 Å, c = 12.4864 Å
α = 90.00°, β = 90.00°, γ = 90.00°
Space group Fmm2 (No. 42)
Asymmetric unit:
Li (0.0000, 0.0000, 0.0000)
Be (0.0000, 0.0000, 0.6705)
Tc (0.0000, 0.0000, 0.3182)

*Q*
VASP calculation (PBE) on LiBeTc after structural relaxation.

Output
* theoretical density: 4.970 g/cm³
* density of states at the Fermi level: 0.438 states/eV/atom
* magnetic moment: 0.0 μB/f.u.

a = 2.5283 Å, b = 2.5283 Å, c = 11.9121 Å
α = 90.00°, β = 90.00°, γ = 90.00°
Space group I4mm (No. 107)
Asymmetric unit:
Li (0.0000, 0.0000, 0.0000)
Be (0.0000, 0.0000, 0.6669)
Tc (0.0000, 0.0000, 0.3130)

*R*
VASP calculation (PBE) on LiBeTc after structural relaxation.

Output
* theoretical density: 4.342 g/cm³
* density of states at the Fermi level: 0.445 states/eV/atom
* magnetic moment: 2.0 μB/f.u.

a = 5.5861 Å, b = 5.5861 Å, c = 5.5861 Å
α = 90.00°, β = 90.00°, γ = 90.00°
Space group F-43m (No. 216)
Asymmetric unit:
Li (0.0000, 0.0000, 0.0000)
Be (0.0000, 0.0000, 0.5000)
Tc (0.2500, 0.2500, 0.2500)

*S*
VASP calculation (PBE) on LiBeTc after structural relaxation.

Output
* theoretical density: 5.352 g/cm³
* density of states at the Fermi level: 0.518 states/eV/atom
* magnetic moment: 0.0 μB/f.u.

a = 4.1612 Å, b = 4.1612 Å, c = 2.3579 Å
α = 90.00°, β = 90.00°, γ = 120.00°
Space group P3m1 (No. 156)
Asymmetric unit:
Li (0.0000, 0.0000, 0.0000)
Be (0.6667, 0.3333, 0.9027)
Tc (0.3333, 0.6667, 0.4542)

Which is most stable, and by how much? *Q*, by 23 meV per atom.